Record 1
! Np2GeBi, relaxed, DFT PBE; values from VASP
! - Fermi-level density of states: 2.93 states/eV per atom
! - Offset from the most stable computed form: 0.0 meV per atom
! - Calculated density: 12.9 Mg/m³
! - Calculated volume: 97 Å³/cell
! - Formation energy from the elements: -0.058 eV/atom
&SYSTEM
  ibrav = 0, nat = 4, ntyp = 3
/
ATOMIC_SPECIES
Np 237.00 Np.upf
Ge 72.64 Ge.upf
Bi 208.98 Bi.upf
CELL_PARAMETERS angstrom
3.9760 0.0000 0.0000
0.0000 3.9760 0.0000
0.0000 0.0000 6.1528
ATOMIC_POSITIONS crystal
Np 0.0000 0.0000 0.7810
Ge 0.5000 0.5000 0.0000
Bi 0.5000 0.5000 0.5000
Np 0.0000 0.0000 0.2190

Record 2
! Mg4ScCd, relaxed, DFT PBE; values from VASP
! - Fermi-level density of states: 0.48 states/eV per atom
! - Offset from the most stable computed form: 132.5 meV per atom
! - Calculated density: 3.0 Mg/m³
! - Calculated volume: 139 Å³/cell
! - Formation energy from the elements: 0.073 eV/atom
&SYSTEM
  ibrav = 0, nat = 6, ntyp = 3
/
ATOMIC_SPECIES
Mg 24.30 Mg.upf
Cd 112.41 Cd.upf
Sc 44.96 Sc.upf
CELL_PARAMETERS angstrom
0.0000 4.1149 4.1149
4.1149 0.0000 4.1149
4.1149 4.1149 0.0000
ATOMIC_POSITIONS crystal
Mg 0.3755 0.8735 0.3755
Mg 0.8735 0.3755 0.3755
Mg 0.3755 0.3755 0.8735
Cd 0.0000 0.0000 0.0000
Mg 0.3755 0.3755 0.3755
Sc 0.7500 0.7500 0.7500

Record 3
! Sc2AlTcH, relaxed, DFT PBE; values from VASP
! - Fermi-level density of states: 0.68 states/eV per atom
! - Calculated density: 4.8 Mg/m³
! - Calculated volume: 75 Å³/cell
&SYSTEM
  ibrav = 0, nat = 5, ntyp = 4
/
ATOMIC_SPECIES
H 1.01 H.upf
Tc 98.00 Tc.upf
Sc 44.96 Sc.upf
Al 26.98 Al.upf
CELL_PARAMETERS angstrom
-4.2365 1.5953 0.7807
-0.8589 -0.0727 -4.5122
-1.2030 -3.3330 0.2827
ATOMIC_POSITIONS crystal
H 0.0000 0.0000 0.0000
Tc 0.0000 0.0000 0.5000
Sc 0.5000 0.0000 0.0000
Al 0.5000 0.5000 0.5000
Sc 0.0000 0.5000 0.0000

Record 4
! AcPm3Y6, relaxed, DFT PBE; values from VASP
! - Fermi-level density of states: 2.21 states/eV per atom
! - Offset from the most stable computed form: 171.8 meV per atom
! - Calculated density: 5.7 Mg/m³
! - Calculated volume: 349 Å³/cell
! - Formation energy from the elements: 0.299 eV/atom
&SYSTEM
  ibrav = 0, nat = 10, ntyp = 3
/
ATOMIC_SPECIES
Pm 145.00 Pm.upf
Y 88.91 Y.upf
Ac 227.00 Ac.upf
CELL_PARAMETERS angstrom
8.8630 0.0000 4.7033
3.1835 8.2715 4.7033
2.2318 1.5324 6.4969
ATOMIC_POSITIONS crystal
Pm 0.1619 0.1619 0.5144
Y 0.2397 0.9000 0.2998
Y 0.5605 0.2397 0.2998
Ac 0.8999 0.8999 0.3004
Pm 0.6380 0.6380 0.0861
Y 0.0705 0.4000 0.7997
Y 0.4000 0.7298 0.7997
Y 0.9000 0.5605 0.2998
Pm 0.3999 0.3999 0.8004
Y 0.7298 0.0705 0.7997

Record 5
! TcTe2W, relaxed, DFT PBE; values from VASP
! - Fermi-level density of states: 1.14 states/eV per atom
! - Energy relative to the elements, uncorrected: 0.77 eV/atom
! - Offset from the most stable computed form: 606.2 meV per atom
! - Calculated density: 10.5 Mg/m³
! - Calculated volume: 85 Å³/cell
&SYSTEM
  ibrav = 0, nat = 4, ntyp = 3
/
ATOMIC_SPECIES
Te 127.60 Te.upf
Tc 98.00 Tc.upf
W 183.84 W.upf
CELL_PARAMETERS angstrom
1.9038 0.0000 9.0299
-0.9519 1.6488 9.0299
-0.9519 -1.6488 9.0299
ATOMIC_POSITIONS crystal
Te 0.9060 0.9060 0.9060
Tc 0.0000 0.0000 0.0000
Te 0.0940 0.0940 0.0940
W 0.5000 0.5000 0.5000

| no. | final energy (eV/atom) |
| --- | --- |
| 1 | -8.65 |
| 2 | -2.20 |
| 3 | -6.44 |
| 4 | -5.42 |
| 5 | -6.63 |